Entry from Alexandria via LeMat-Bulk: an optimized crystal structure of BI3 (PBE-GGA).

The space group is P6_3/m (No. 176) and the conventional cell measures 7.4759, 7.4759 and 8.4498 Å, with angles of 90.00, 90.00 and 120.00 degrees. Symmetry generates all atoms from B at (0.3333, 0.6667, 0.2500) and I at (0.0660, 0.3671, 0.2500).

The value obtained for the density of states at the Fermi level is 0.00 states/eV/cell. For the offset from the most stable computed form, the calculation gives 0 meV per atom. As for the raw formation energy: -0.04 eV per atom. As for the total energy: -2.87 eV/atom.